[1]
The following is a DFT calculation (SCAN) of a PBEsol-optimized structure of Y4Ga12Pt.

a b c (Å): 7.3589 7.3589 7.3589
angles (deg): 109.47 109.47 109.47
With the nearest neighbours (Å) after each atom.
Positions (direct):
Ga 0.5000 0.2500 0.7500  8 Ga 2.73-3.00, 4 Y 3.00
Y 0.0000 0.0000 0.5000  12 Ga 3.00-3.03
Ga 0.2500 0.5000 0.7500  8 Ga 2.73-3.00, 4 Y 3.00
Ga 0.7500 0.5000 0.2500  8 Ga 2.73-3.00, 4 Y 3.00
Y 0.5000 0.5000 0.5000  12 Ga 3.00-3.03
Ga 0.0000 0.2981 0.2981  1 Pt 2.53, 4 Ga 2.73
Ga 0.7019 0.0000 0.7019  1 Pt 2.53, 4 Ga 2.73
Pt 0.0000 0.0000 0.0000  6 Ga 2.53
Ga 0.2981 0.0000 0.2981  1 Pt 2.53, 4 Ga 2.73
Ga 0.5000 0.7500 0.2500  8 Ga 2.73-3.00, 4 Y 3.00
Ga 0.2500 0.7500 0.5000  8 Ga 2.73-3.00, 4 Y 3.00
Y 0.0000 0.5000 0.0000  12 Ga 3.00-3.03
Ga 0.2981 0.2981 0.0000  1 Pt 2.53, 4 Ga 2.73
Ga 0.7500 0.2500 0.5000  8 Ga 2.73-3.00, 4 Y 3.00
Ga 0.7019 0.7019 0.0000  1 Pt 2.53, 4 Ga 2.73
Y 0.5000 0.0000 0.0000  12 Ga 3.00-3.03
Ga 0.0000 0.7019 0.7019  1 Pt 2.53, 4 Ga 2.73

## Properties
Raw total energy (eV per atom): -22.96
Space group: Im-3m

[2]
The following is a DFT calculation (SCAN) of a PBEsol-optimized structure of InMo2As.

a b c (Å): 3.0459 4.4985 5.3390
angles (deg): 101.74 90.00 109.79
With the nearest neighbours (Å) after each atom.
Positions (direct):
In 0.0000 0.0000 0.5000  6 Mo 2.78-2.84, 2 In 3.05, 4 As 3.07
Mo 0.2390 0.4781 0.2167  3 As 2.60-2.71, 3 In 2.78-2.84, 2 Mo 2.81
As 0.5000 0.0000 0.0000  6 Mo 2.60-2.71
Mo 0.7610 0.5219 0.7833  3 As 2.60-2.71, 3 In 2.78-2.84, 2 Mo 2.81

## Properties
Relative energy among the computed polymorphs (meV/atom): 112
Raw total energy (eV per atom): -30.48
Space group: C2/m

[3]
The following is a DFT calculation (SCAN) of a PBEsol-optimized structure of OsPdC3.

a b c (Å): 3.8583 3.8583 3.8583
angles (deg): 90.00 90.00 90.00
With the nearest neighbours (Å) after each atom.
Positions (direct):
C 0.0000 0.0000 0.5000  2 Pd 1.93
Os 0.5000 0.5000 0.5000  12 C 2.73
C 0.5000 0.0000 0.0000  2 Pd 1.93
Pd 0.0000 0.0000 0.0000  6 C 1.93
C 0.0000 0.5000 0.0000  2 Pd 1.93

## Properties
Relative energy among the computed polymorphs (meV/atom): 1313
Raw total energy (eV per atom): -23.73
Space group: Pm-3m

[4]
The following is a DFT calculation (SCAN) of a PBEsol-optimized structure of TaRuF3.

a b c (Å): 4.1438 4.1438 4.1438
angles (deg): 90.00 90.00 90.00
With the nearest neighbours (Å) after each atom.
Positions (direct):
F 0.5000 0.0000 0.0000  2 Ru 2.07
Ru 0.0000 0.0000 0.0000  6 F 2.07
Ta 0.5000 0.5000 0.5000  12 F 2.93
F 0.0000 0.5000 0.0000  2 Ru 2.07
F 0.0000 0.0000 0.5000  2 Ru 2.07

## Properties
Raw total energy (eV per atom): -22.46
Space group: Pm-3m